A plane-wave DFT calculation with PBE+U was carried out for a geometry-optimized BeWSe2F structure.

Cell: 4.8370 4.7803 4.8370 Å, 90.00 90.00 90.00°
Each line ends with the local moment (μB).
Positions (direct):
Se 0.0000 0.0000 0.5000  -0.16
Se 0.5000 0.0000 0.0000  -0.25
F 0.5000 0.5000 0.5000  -0.06
W 0.0000 0.0000 0.0000  1.09
Be 0.0000 0.5000 0.0000  0.01

## Properties
Its space group is P4/mmm (123). Its size of the total moment is 0.14 μB/atom. The value obtained for the volume is 22.4 Å³ per atom. For the density of states at the Fermi level, the calculation gives 2.65 states/eV per cell. The total energy is -0.262 Ry per atom.